# 1
Sm4TlBiN: optimized geometry, PBE.

a b c (Å): 6.889 16.351 6.894
angles (deg): 90.00 90.00 90.00
Space group Cmcm (No. 63)
Symmetry-distinct sites (fractional):
Sm (0.000, 0.090, 0.250) (multiplicity 4)
Sm (0.000, 0.406, 0.250) (multiplicity 4)
Sm (0.250, 0.250, 0.000) (multiplicity 8)
Tl (0.000, 0.110, 0.750) (multiplicity 4)
Bi (0.000, 0.395, 0.750) (multiplicity 4)
N (0.000, 0.247, 0.250) (multiplicity 4)

# 2
SmYBiN: optimized geometry, PBE.

a b c (Å): 4.602 4.602 9.249
angles (deg): 90.00 90.00 90.00
Space group P4/nmm (No. 129, origin choice 2)
Symmetry-distinct sites (fractional):
Sm (0.250, 0.250, 0.181) (multiplicity 2)
Y (0.250, 0.750, 0.500) (multiplicity 2)
Bi (0.250, 0.250, 0.810) (multiplicity 2)
N (0.250, 0.250, 0.428) (multiplicity 2)

# 3
Sm4Y2Bi3N2: optimized geometry, PBE.

a b c (Å): 4.782 4.782 26.019
angles (deg): 90.00 90.00 90.00
Space group I4/mmm (No. 139)
Symmetry-distinct sites (fractional):
Sm (0.000, 0.500, 0.085) (multiplicity 8)
Y (0.000, 0.000, 0.191) (multiplicity 4)
Bi (0.000, 0.000, 0.317) (multiplicity 4)
Bi (0.000, 0.000, 0.500) (multiplicity 2)
N (0.000, 0.000, 0.106) (multiplicity 4)

# 4
Sm2ZrBi2N2: optimized geometry, PBE.

a b c (Å): 4.295 4.295 16.752
angles (deg): 90.00 90.00 90.00
Space group I4/mmm (No. 139)
Symmetry-distinct sites (fractional):
Sm (0.000, 0.000, 0.096) (multiplicity 4)
Zr (0.000, 0.000, 0.500) (multiplicity 2)
Bi (0.000, 0.000, 0.308) (multiplicity 4)
N (0.000, 0.500, 0.000) (multiplicity 4)

# 5
SnBi3N: optimized geometry, PBE.

Results
The energy above the most stable polymorph in this dataset comes out at 0.0000 eV per atom.

a b c (Å): 6.009 6.204 8.493
angles (deg): 103.48 104.31 103.95
Space group P-1 (No. 2)
Symmetry-distinct sites (fractional):
Sn (0.189, 0.440, 0.363) (multiplicity 2)
Bi (0.096, 0.823, 0.123) (multiplicity 2)
Bi (0.332, 0.137, 0.593) (multiplicity 2)
Bi (0.406, 0.637, 0.876) (multiplicity 2)
N (0.197, 0.207, 0.128) (multiplicity 2)

# 6
SnBi2N: optimized geometry, PBE.

Results
The energy above the most stable polymorph in this dataset comes out at 0.4951 eV per atom.

a b c (Å): 7.217 7.217 7.217
angles (deg): 90.00 90.00 90.00
Space group Fm-3m (No. 225)
Symmetry-distinct sites (fractional):
Sn (0.000, 0.000, 0.000) (multiplicity 4)
Bi (0.250, 0.250, 0.250) (multiplicity 8)
N (0.000, 0.000, 0.500) (multiplicity 4)

Electronic total energy
In order: -5.5835 -7.1064 -6.4831 -7.0473 -4.4731 -3.9228
Unit: eV per atom
Energy relative to the elements, uncorrected
In order: -805 -1259 -1020 -990 321 1100
Unit: meV per atom